[1]
Below is a geometry-optimized Ba2CuWS6 structure, with properties calculated at the PBE level.

It has space group R-3m (No. 166, hexagonal axes), with a = 6.7895 Å, b = 6.7895 Å, c = 34.0486 Å, α = 90.00°, β = 90.00° and γ = 120.00°. Symmetry generates all atoms from Ba at (0.0000, 0.0000, 0.1222), Ba at (0.0000, 0.0000, 0.2938), Cu at (0.0000, 0.0000, 0.4161), W at (0.0000, 0.0000, 0.0000), W at (0.0000, 0.0000, 0.5000), S at (0.0001, 0.5000, 0.1252) and S at (0.0035, 0.5018, 0.7078).

---

[2]
Below is a geometry-optimized BaCuW2S8 structure, with properties calculated at the PBE level.

It has space group R-3 (No. 148, hexagonal axes), with a = 6.1032 Å, b = 6.1032 Å, c = 26.8712 Å, α = 90.00°, β = 90.00° and γ = 120.00°. Symmetry generates all atoms from Ba at (0.0000, 0.0000, 0.0000), Cu at (0.0000, 0.0000, 0.5000), W at (0.0000, 0.0000, 0.2477), S at (0.0000, 0.0000, 0.3299) and S at (0.0005, 0.3426, 0.7788).

---

[3]
Below is a geometry-optimized BaCuWS4 structure, with properties calculated at the PBE level.

It has space group I-4 (No. 82), with a = 6.758 Å, b = 6.758 Å, c = 9.143 Å, α = 90.00°, β = 90.00° and γ = 90.00°. Symmetry generates all atoms from Ba at (0.000, 0.000, 0.000), Cu at (0.000, 0.000, 0.500), W at (0.000, 0.500, 0.250) and S at (0.148, 0.253, 0.373).

---

[4]
Below is a geometry-optimized Ba2YCu2S4 structure, with properties calculated at the PBE level.

It has space group C2/m (No. 12), with a = 14.798 Å, b = 3.980 Å, c = 7.358 Å, α = 90.00°, β = 110.11° and γ = 90.00°. Symmetry generates all atoms from Ba at (0.135, 0.000, 0.066), Y at (0.000, 0.000, 0.500), Cu at (0.180, 0.500, 0.492), S at (0.023, 0.500, 0.257) and S at (0.200, 0.000, 0.682).

---

Number 1: total energy -5.525 eV per atom, formation energy (no corrections) -0.959 eV/atom, V 1359.26 Å³/cell. Number 2: total energy -6.019 eV per atom, formation energy (no corrections) -0.607 eV/atom, V 866.82 Å³/cell. Number 3: total energy -5.855 eV per atom, formation energy (no corrections) -0.786 eV/atom, V 417.60 Å³/cell. Number 4: total energy -5.259 eV per atom, formation energy (no corrections) -1.369 eV/atom, V 406.94 Å³/cell.